1.
# ScCrHg2

A relaxed structure of ScCrHg2 (PBE-GGA, Alexandria via LeMat-Bulk).

Structure (POSCAR):
```
ScCrHg2
1.0
9.0419 -0.0249 -0.0147
8.4243 3.2846 -0.0147
8.4243 1.5722 2.8839
Cr Hg Sc
1 2 1
direct
0.7500 0.7500 0.7500
0.0030 0.0030 0.0030
0.4970 0.4970 0.4970
0.2500 0.2500 0.2500
```

Summary:
Energy relative to the lowest polymorph listed for this composition ... 223.3 meV per atom
Calculated formation energy ... 0.18 eV per atom
DOS at the Fermi energy ... 3.814 states/eV per cell
M_tot ... 3.79 μB/cell

---

2.
# ScCrSn2Hg

A relaxed structure of ScCrSn2Hg (PBE-GGA, Alexandria via LeMat-Bulk).

Structure (POSCAR):
```
ScCrSn2Hg
1.0
-3.4842 0.1473 3.5863
-3.5829 -1.2575 -3.4291
0.7827 -4.8466 0.9594
Cr Sn Hg Sc
1 2 1 1
direct
0.0000 0.0000 0.0000
0.5000 0.0000 0.0000
0.0000 0.0000 0.5000
0.0000 0.5000 0.0000
0.5000 0.5000 0.5000
```

Summary:
Calculated formation energy ... 0.35 eV per atom
DOS at the Fermi energy ... 5.140 states/eV per cell
M_tot ... 2.13 μB/cell

---

3.
# CrHg2Se

A relaxed structure of CrHg2Se (PBE-GGA, Alexandria via LeMat-Bulk).

Structure (POSCAR):
```
CrHg2Se
1.0
3.4574 0.0114 0.0000
-0.0102 3.4574 0.0000
0.0000 0.0000 8.9202
Cr Hg Se
1 2 1
direct
0.5000 0.5000 0.6625
0.0000 0.0000 0.9874
0.5000 0.5000 0.2672
0.0000 0.0000 0.5830
```

Summary:
DOS at the Fermi energy ... 0.849 states/eV per cell
M_tot ... 4.00 μB/cell
ΔE_f (raw) ... -0.0062 eV per atom

---

4.
# CrHg2Se

A relaxed structure of CrHg2Se (PBE-GGA, Alexandria via LeMat-Bulk).

Structure (POSCAR):
```
CrHg2Se
1.0
-3.3951 -1.3127 -1.3722
1.6711 -0.7222 -3.4438
1.3466 -5.3353 1.7723
Hg Cr Se
2 1 1
direct
0.0000 0.0000 0.9979
0.0000 0.0000 0.5021
0.5000 0.5000 0.7500
0.5000 0.5000 0.2500
```

Summary:
DOS at the Fermi energy ... 1.635 states/eV per cell
M_tot ... 4.47 μB/cell
ΔE_f (raw) ... 0.3052 eV per atom

---

5.
# CrHg2Se

A relaxed structure of CrHg2Se (PBE-GGA, Alexandria via LeMat-Bulk).

Structure (POSCAR):
```
CrHg2Se
1.0
7.1220 0.0006 0.0004
5.9849 3.8605 0.0004
5.9849 1.7631 3.4344
Cr Hg Se
1 2 1
direct
0.7500 0.7500 0.7500
0.4978 0.4978 0.4978
0.0022 0.0022 0.0022
0.2500 0.2500 0.2500
```

Summary:
DOS at the Fermi energy ... 2.393 states/eV per cell
M_tot ... 4.17 μB/cell
ΔE_f (raw) ... 0.2900 eV per atom

---

6.
# CrHgSe

A relaxed structure of CrHgSe (PBE-GGA, Alexandria via LeMat-Bulk).

Structure (POSCAR):
```
CrHgSe
1.0
6.9141 -0.0148 0.0157
6.0653 3.3196 0.0277
0.8488 0.2050 3.3281
Hg Se Cr
1 1 1
direct
0.6667 0.6667 0.3333
0.3876 0.3876 0.6124
0.9457 0.9457 0.0543
```

Summary:
Energy relative to the lowest polymorph listed for this composition ... 90.0 meV per atom
DOS at the Fermi energy ... 0.804 states/eV per cell
M_tot ... 4.00 μB/cell
ΔE_f (raw) ... -0.0118 eV per atom

---

7.
# CrHg2Se

A relaxed structure of CrHg2Se (PBE-GGA, Alexandria via LeMat-Bulk).

Structure (POSCAR):
```
CrHg2Se
1.0
-1.0930 1.3357 -3.5191
-3.2504 -2.2447 0.1576
-4.5236 3.7237 2.8184
Hg Cr Se
2 1 1
direct
0.0000 0.0000 0.0000
0.5000 0.5000 0.0000
0.0000 0.0000 0.5000
0.5000 0.5000 0.5000
```

Summary:
DOS at the Fermi energy ... 1.982 states/eV per cell
M_tot ... 4.27 μB/cell
ΔE_f (raw) ... 0.1575 eV per atom

---

8.
# CrHg2Se

A relaxed structure of CrHg2Se (PBE-GGA, Alexandria via LeMat-Bulk).

Structure (POSCAR):
```
CrHg2Se
1.0
5.1895 0.0254 0.0000
1.0102 5.0903 0.0000
-3.0998 -2.5579 3.2833
Cr Hg Se
1 2 1
direct
0.7500 0.2500 0.5000
0.2500 0.7500 0.5000
0.0000 0.0000 0.0000
0.5000 0.5000 0.0000
```

Summary:
DOS at the Fermi energy ... 0.851 states/eV per cell
M_tot ... 4.06 μB/cell
ΔE_f (raw) ... 0.2835 eV per atom

---

9.
# Cr2HgSe4

A relaxed structure of Cr2HgSe4 (PBE-GGA, Alexandria via LeMat-Bulk).

Structure (POSCAR):
```
Cr2HgSe4
1.0
-6.6091 0.9384 3.8484
-0.8133 -3.0028 7.0492
-0.2507 4.6295 6.1543
Cr Se Hg
4 8 2
direct
0.3750 0.3750 0.3750
0.8750 0.3750 0.3750
0.3750 0.3750 0.8750
0.3750 0.8750 0.3750
0.1748 0.6084 0.6084
0.1416 0.1416 0.1416
0.6084 0.6084 0.1748
0.1416 0.1416 0.5752
0.6084 0.1748 0.6084
0.1416 0.5752 0.1416
0.5752 0.1416 0.1416
0.6084 0.6084 0.6084
0.7500 0.7500 0.7500
0.0000 0.0000 0.0000
```

Summary:
DOS at the Fermi energy ... 2.159 states/eV per cell
M_tot ... 11.96 μB/cell
ΔE_f (raw) ... -0.4534 eV per atom

---

10.
# CrHgSe

A relaxed structure of CrHgSe (PBE-GGA, Alexandria via LeMat-Bulk).

Structure (POSCAR):
```
CrHgSe
1.0
-1.7376 -2.6114 -3.3561
0.6938 -4.5409 0.0302
-3.4919 -2.8512 0.8827
Hg Se Cr
1 1 1
direct
0.0000 0.0000 0.0000
0.5000 0.5000 0.5000
0.2500 0.2500 0.2500
```

Summary:
Energy relative to the lowest polymorph listed for this composition ... 194.9 meV per atom
DOS at the Fermi energy ... 1.299 states/eV per cell
M_tot ... 4.00 μB/cell
ΔE_f (raw) ... 0.0931 eV per atom

---

11.
# Cr2HgSe2

A relaxed structure of Cr2HgSe2 (PBE-GGA, Alexandria via LeMat-Bulk).

Structure (POSCAR):
```
Cr2HgSe2
1.0
-3.0881 -1.6343 -0.4339
1.0760 -1.2022 -3.1293
2.5496 -9.2616 2.4541
Cr Hg Se
2 1 2
direct
0.7500 0.2500 0.5000
0.2500 0.7500 0.5000
0.0000 0.0000 0.0000
0.3374 0.3374 0.3251
0.6626 0.6626 0.6749
```

Summary:
Energy relative to the lowest polymorph listed for this composition ... 0.0 meV per atom
DOS at the Fermi energy ... 2.804 states/eV per cell
M_tot ... 0.64 μB/cell
ΔE_f (raw) ... -0.2392 eV per atom

---

12.
# Cr4HgSe8

A relaxed structure of Cr4HgSe8 (PBE-GGA, Alexandria via LeMat-Bulk).

Structure (POSCAR):
```
Cr4HgSe8
1.0
6.4739 0.0000 3.7377
2.1580 6.1036 3.7377
0.0000 0.0000 7.4754
Se Cr Hg
8 4 1
direct
0.6079 0.6079 0.6079
0.6079 0.1763 0.6079
0.1307 0.6080 0.1306
0.1307 0.1306 0.6080
0.1307 0.1306 0.1306
0.1763 0.6079 0.6079
0.6079 0.6079 0.1763
0.6081 0.1306 0.1306
0.3664 0.3664 0.3664
0.3664 0.9008 0.3664
0.9008 0.3664 0.3664
0.3664 0.3664 0.9008
0.7500 0.7500 0.7500
```

Summary:
DOS at the Fermi energy ... 2.514 states/eV per cell
M_tot ... 10.00 μB/cell
ΔE_f (raw) ... -0.4490 eV per atom

---

13.
# CrHg2Se

A relaxed structure of CrHg2Se (PBE-GGA, Alexandria via LeMat-Bulk).

Structure (POSCAR):
```
CrHg2Se
1.0
4.9822 0.0000 0.0000
2.4911 4.3147 0.0000
2.4911 1.4382 4.0679
Se Hg Cr
1 2 1
direct
0.7500 0.7500 0.7500
0.2500 0.2500 0.2500
0.0000 0.0000 0.0000
0.5000 0.5000 0.5000
```

Summary:
DOS at the Fermi energy ... 1.306 states/eV per cell
M_tot ... 4.12 μB/cell
ΔE_f (raw) ... 0.2915 eV per atom

---

14.
# Cr2HgSe2

A relaxed structure of Cr2HgSe2 (PBE-GGA, Alexandria via LeMat-Bulk).

Structure (POSCAR):
```
Cr2HgSe2
1.0
-2.3587 -3.1925 -2.7748
3.8758 -0.3590 -2.8816
2.1435 -4.7388 -0.5963
Se Cr Hg
2 2 1
direct
0.2500 0.7500 0.5000
0.7500 0.2500 0.5000
0.6165 0.6165 0.7671
0.3835 0.3835 0.2329
0.0000 0.0000 0.0000
```

Summary:
Energy relative to the lowest polymorph listed for this composition ... 396.5 meV per atom
DOS at the Fermi energy ... 0.393 states/eV per cell
M_tot ... 0.00 μB/cell
ΔE_f (raw) ... 0.1573 eV per atom

---

15.
# CrHg2Se

A relaxed structure of CrHg2Se (PBE-GGA, Alexandria via LeMat-Bulk).

Structure (POSCAR):
```
CrHg2Se
1.0
-2.6199 -0.2226 -2.9239
2.9156 -0.6072 -2.5662
-0.4921 -6.2316 0.9154
Se Cr Hg
1 1 2
direct
0.5000 0.0000 0.5000
0.0000 0.5000 0.5000
0.0000 0.0000 0.0000
0.5000 0.5000 0.0000
```

Summary:
DOS at the Fermi energy ... 2.285 states/eV per cell
M_tot ... 4.29 μB/cell
ΔE_f (raw) ... 0.1699 eV per atom

---

16.
# CrHgSe

A relaxed structure of CrHgSe (PBE-GGA, Alexandria via LeMat-Bulk).

Structure (POSCAR):
```
CrHgSe
1.0
-3.5460 -1.7383 -1.0244
-0.7284 -0.8298 3.9276
-4.5856 8.0136 1.1389
Se Hg Cr
2 2 2
direct
0.7600 0.7600 0.8566
0.2400 0.2400 0.1434
0.7499 0.2501 0.5000
0.2501 0.7499 0.5000
0.2500 0.7500 0.0000
0.7500 0.2500 0.0000
```

Summary:
Energy relative to the lowest polymorph listed for this composition ... 0.0 meV per atom
DOS at the Fermi energy ... 2.475 states/eV per cell
M_tot ... 4.87 μB/cell
ΔE_f (raw) ... -0.1019 eV per atom

---

17.
# CrHg2Se

A relaxed structure of CrHg2Se (PBE-GGA, Alexandria via LeMat-Bulk).

Structure (POSCAR):
```
CrHg2Se
1.0
6.4716 0.9319 -0.1793
3.1417 5.7340 0.1793
-4.0914 -4.3645 2.6446
Se Hg Cr
1 2 1
direct
0.4281 0.4281 0.0000
0.7370 0.2370 0.5000
0.0619 0.0619 0.0000
0.2730 0.7730 0.5000
```

Summary:
DOS at the Fermi energy ... 1.876 states/eV per cell
M_tot ... 3.59 μB/cell
ΔE_f (raw) ... 0.0853 eV per atom

---

18.
# Cr4HgSe

A relaxed structure of Cr4HgSe (PBE-GGA, Alexandria via LeMat-Bulk).

Structure (POSCAR):
```
Cr4HgSe
1.0
0.0000 3.5170 3.5170
3.5170 0.0000 3.5170
3.5170 3.5170 0.0000
Cr Se Hg
4 1 1
direct
0.6215 0.1354 0.6215
0.6215 0.6215 0.6215
0.1354 0.6215 0.6215
0.6215 0.6215 0.1354
0.0000 0.0000 0.0000
0.2500 0.2500 0.2500
```

Summary:
DOS at the Fermi energy ... 6.769 states/eV per cell
M_tot ... 0.00 μB/cell
ΔE_f (raw) ... 0.6570 eV per atom

---

19.
# Cr5HgSe8

A relaxed structure of Cr5HgSe8 (PBE-GGA, Alexandria via LeMat-Bulk).

Structure (POSCAR):
```
Cr5HgSe8
1.0
-2.3559 0.3921 2.7367
-0.7615 -8.9953 0.6332
8.3235 1.9419 4.4767
Se Hg Cr
8 1 5
direct
0.0866 0.8259 0.1733
0.4255 0.8420 0.8509
0.5746 0.1580 0.1491
0.1707 0.4938 0.3415
0.2386 0.1564 0.4771
0.8292 0.5062 0.6585
0.7615 0.8437 0.5230
0.9134 0.1741 0.8269
0.4998 0.5000 0.9996
0.0000 0.0000 0.0000
0.6563 0.9779 0.3126
0.7047 0.3381 0.4095
0.2953 0.6619 0.5905
0.3437 0.0221 0.6875
```

Summary:
DOS at the Fermi energy ... 5.030 states/eV per cell
M_tot ... 13.99 μB/cell
ΔE_f (raw) ... -0.4775 eV per atom

---

20.
# CrHg2Se

A relaxed structure of CrHg2Se (PBE-GGA, Alexandria via LeMat-Bulk).

Structure (POSCAR):
```
CrHg2Se
1.0
-0.9291 -4.7633 0.8736
1.4604 2.5144 3.9825
-3.9388 0.9259 0.8598
Se Hg Cr
1 2 1
direct
0.5000 0.0000 0.5000
0.0000 0.0000 0.0000
0.5000 0.5000 0.0000
0.0000 0.5000 0.5000
```

Summary:
DOS at the Fermi energy ... 1.985 states/eV per cell
M_tot ... 4.11 μB/cell
ΔE_f (raw) ... 0.2769 eV per atom

---

21.
# CrHg2Se

A relaxed structure of CrHg2Se (PBE-GGA, Alexandria via LeMat-Bulk).

Structure (POSCAR):
```
CrHg2Se
1.0
-1.4585 2.9571 -0.1766
-0.5915 -0.5443 -3.2026
-6.9235 -3.3048 1.8404
Cr Se Hg
1 1 2
direct
0.5000 0.5000 0.7500
0.5000 0.5000 0.2500
0.0000 0.0000 0.9825
0.0000 0.0000 0.5175
```

Summary:
DOS at the Fermi energy ... 1.483 states/eV per cell
M_tot ... 4.31 μB/cell
ΔE_f (raw) ... 0.3763 eV per atom

---

22.
# CrHg2Se

A relaxed structure of CrHg2Se (PBE-GGA, Alexandria via LeMat-Bulk).

Structure (POSCAR):
```
CrHg2Se
1.0
7.7004 0.0054 0.0564
6.9083 3.4016 0.0564
0.9317 0.2173 3.7270
Cr Se Hg
1 1 2
direct
0.7500 0.7500 0.7500
0.2500 0.2500 0.2500
0.0617 0.0617 0.9383
0.4383 0.4383 0.5617
```

Summary:
DOS at the Fermi energy ... 1.674 states/eV per cell
M_tot ... 4.12 μB/cell
ΔE_f (raw) ... 0.0352 eV per atom

---

23.
# CrHg2Se

A relaxed structure of CrHg2Se (PBE-GGA, Alexandria via LeMat-Bulk).

Structure (POSCAR):
```
CrHg2Se
1.0
-7.1532 6.1523 2.2251
-3.6121 -6.4628 6.2574
-4.0529 0.7683 5.9627
Cr Hg Se
2 4 2
direct
0.5000 0.5000 0.0000
0.2500 0.7500 0.5000
0.2224 0.6250 0.2500
0.3750 0.4724 0.7500
0.8750 0.7776 0.7500
0.5276 0.1250 0.2500
0.0000 0.0000 0.0000
0.7500 0.2500 0.5000
```

Summary:
DOS at the Fermi energy ... 3.352 states/eV per cell
M_tot ... 7.88 μB/cell
ΔE_f (raw) ... 0.1647 eV per atom

---

24.
# CrHg2Se

A relaxed structure of CrHg2Se (PBE-GGA, Alexandria via LeMat-Bulk).

Structure (POSCAR):
```
CrHg2Se
1.0
-2.7031 8.1858 -1.2912
-5.7545 6.5411 -0.2838
-3.4222 7.7052 2.2134
Hg Cr Se
2 1 1
direct
0.2527 0.2527 0.2527
0.0119 0.0119 0.0119
0.7590 0.7590 0.7590
0.4764 0.4764 0.4764
```

Summary:
DOS at the Fermi energy ... 2.609 states/eV per cell
M_tot ... 3.40 μB/cell
ΔE_f (raw) ... -0.0424 eV per atom

---

25.
# CrHg2Se

A relaxed structure of CrHg2Se (PBE-GGA, Alexandria via LeMat-Bulk).

Structure (POSCAR):
```
CrHg2Se
1.0
-1.8857 -2.6868 2.1644
6.0533 1.0269 2.9461
-0.5379 2.6939 2.8127
Cr Hg Se
1 2 1
direct
0.5000 0.5000 0.0000
0.0000 0.0000 0.0000
0.5000 0.0000 0.5000
0.0000 0.5000 0.5000
```

Summary:
DOS at the Fermi energy ... 2.591 states/eV per cell
M_tot ... 4.21 μB/cell
ΔE_f (raw) ... 0.1520 eV per atom

---

26.
# CrHg2Se

A relaxed structure of CrHg2Se (PBE-GGA, Alexandria via LeMat-Bulk).

Structure (POSCAR):
```
CrHg2Se
1.0
-0.1067 3.2565 -1.2021
-4.3828 -0.0006 0.3872
-1.6652 2.1623 6.0053
Cr Hg Se
1 2 1
direct
0.5000 0.5468 0.7932
0.0000 0.9689 0.9419
0.5000 0.3097 0.2477
0.0000 0.6746 0.5172
```

Summary:
DOS at the Fermi energy ... 1.645 states/eV per cell
M_tot ... 3.75 μB/cell
ΔE_f (raw) ... 0.0755 eV per atom

---

27.
# CrHgSe

A relaxed structure of CrHgSe (PBE-GGA, Alexandria via LeMat-Bulk).

Structure (POSCAR):
```
CrHgSe
1.0
3.6737 0.0000 0.0000
-1.8369 3.1815 0.0000
0.0000 0.0000 5.8724
Cr Hg Se
1 1 1
direct
0.0000 0.0000 0.7095
0.3333 0.6667 0.3632
0.6667 0.3333 0.9273
```

Summary:
Energy relative to the lowest polymorph listed for this composition ... 57.7 meV per atom
DOS at the Fermi energy ... 1.640 states/eV per cell
M_tot ... 3.75 μB/cell
ΔE_f (raw) ... -0.0441 eV per atom

---

28.
# TaCr2Hg2Se6

A relaxed structure of TaCr2Hg2Se6 (PBE-GGA, Alexandria via LeMat-Bulk).

Structure (POSCAR):
```
TaCr2Hg2Se6
1.0
6.0686 -0.0259 0.1173
-3.0220 5.2627 0.1173
-0.9644 -1.6577 9.4558
Hg Se Cr Ta
2 6 2 1
direct
0.1628 0.8372 0.0000
0.8372 0.1628 0.0000
0.6158 0.9590 0.3386
0.6982 0.6982 0.6620
0.3018 0.3018 0.3380
0.0410 0.3842 0.6614
0.9590 0.6158 0.3386
0.3842 0.0410 0.6614
0.6665 0.3335 0.5000
0.3335 0.6665 0.5000
0.0000 0.0000 0.5000
```

Summary:
DOS at the Fermi energy ... 4.761 states/eV per cell
M_tot ... 5.16 μB/cell
ΔE_f (raw) ... -0.4834 eV per atom